Entry 1:
Below is crystalline Mn12Fe17 at its relaxed geometry, with properties calculated at the GGA-PBEsol level.

a = 8.434 Å, b = 8.434 Å, c = 8.434 Å
α = 90.00°, β = 90.00°, γ = 90.00°
Space group I-43m (No. 217)
Inequivalent atoms, fractional coordinates:
Mn 0.090 0.090 0.283 x24
Fe 0.000 0.000 0.000 x2
Fe 0.035 0.355 0.355 x24
Fe 0.178 0.178 0.822 x8

## Properties
energy of formation: 0.029 eV per atom
crystal system: cubic
electronic total energy: -537.350 eV for the cell shown

=====

Entry 2:
Below is crystalline Ce2Zn17 at its relaxed geometry, with properties calculated at the GGA-PBEsol level.

a = 8.8595 Å, b = 8.8595 Å, c = 12.9767 Å
α = 90.00°, β = 90.00°, γ = 120.00°
Space group R-3m (No. 166, hexagonal axes)
Inequivalent atoms, fractional coordinates:
Ce 0.0000 0.0000 0.1626 x6
Zn 0.0000 0.0000 0.4002 x6
Zn 0.0000 0.2938 0.5000 x18
Zn 0.0000 0.5000 0.0000 x9
Zn 0.0070 0.5035 0.6527 x18

## Properties
energy of formation: -0.230 eV per atom
crystal system: trigonal
electronic total energy: -133.367 eV for the cell shown

=====

Entry 3:
Below is crystalline BeCdCl2 at its relaxed geometry, with properties calculated at the GGA-PBEsol level.

a = 3.1717 Å, b = 3.1717 Å, c = 27.8193 Å
α = 90.00°, β = 90.00°, γ = 120.00°
Space group R-3m (No. 166, hexagonal axes)
Inequivalent atoms, fractional coordinates:
Be 0.0000 0.0000 0.0000 x3
Cd 0.0000 0.0000 0.5000 x3
Cl 0.0000 0.0000 0.2879 x6

## Properties
crystal system: trigonal
electronic total energy: -36.790 eV for the cell shown
formation energy without anion corrections: -3.05 eV per formula unit

=====

Here are the calculated N(E_F) numbers, same order: 62.7, 39.2, 1.0 (states/eV/cell).